Below is BaCu4O4 after structural relaxation, with properties calculated at the PBE level.

**Calculated volume**: 278 Å³ per cell
**Magnetization**: 2.0 μB/f.u.
**Density of states at the Fermi level**: 0.9526 states/eV/atom
**Uncorrected formation energy**: -981 meV/atom
**VASP energy**: -93.94 eV for the cell shown

Lattice parameters (Å, degrees): 6.5708 6.5708 6.4499 90.00 90.00 90.00
Last column: nearest neighbours and their distance in Å.
Space group P4/nbm (No. 125, origin choice 2)
Unique sites:
Ba: 0.2500 0.2500 0.0000 [2 per cell]  8 O 2.81
Cu: 0.0000 0.0000 0.5000 [4 per cell]  2 O 1.81
Cu: 0.2500 0.7500 0.2789 [4 per cell]  2 O 1.82
O: 0.0567 0.5567 0.2320 [8 per cell]  2 Cu 1.81-1.82

Below is KMoS3 after structural relaxation, with properties calculated at the PBE level.

**Calculated volume**: 481 Å³ per cell
**Magnetization**: 0.0 μB/f.u.
**Density of states at the Fermi level**: 0.3372 states/eV/atom
**Uncorrected formation energy**: -647 meV/atom
**VASP energy**: -110.19 eV for the cell shown
**Excess energy over the best structure of this formula in the dataset**: 0 meV per atom

Lattice parameters (Å, degrees): 8.5882 6.2662 9.0093 90.00 97.14 90.00
Last column: nearest neighbours and their distance in Å.
Space group P2_1/c (No. 14)
Unique sites:
K: 0.1309 0.2014 0.1964 [4 per cell]  7 S 3.12-3.45
Mo: 0.4146 0.7350 0.6035 [4 per cell]  5 S 2.25-2.47
S: 0.1545 0.7026 0.0734 [4 per cell]  1 Mo 2.25
S: 0.3455 0.0725 0.9536 [4 per cell]  2 Mo 2.39-2.41
S: 0.4569 0.5840 0.8457 [4 per cell]  2 Mo 2.36-2.47

Below is BaYAlTe4 after structural relaxation, with properties calculated at the PBE level.

**Calculated volume**: 496 Å³ per cell
**Magnetization**: 0.0 μB/f.u.
**Uncorrected formation energy**: -1138 meV/atom
**VASP energy**: -65.33 eV for the cell shown

Lattice parameters (Å, degrees): 7.3084 7.6646 9.2696 90.00 107.33 90.00
Last column: nearest neighbours and their distance in Å.
Space group P2_1/m (No. 11)
Unique sites:
Ba: 0.2255 0.2500 0.0527 [2 per cell]  6 Te 3.36-3.63
Y: 0.2326 0.2500 0.5577 [2 per cell]  6 Te 3.07-3.23
Al: 0.2319 0.7500 0.3270 [2 per cell]  4 Te 2.57-2.63
Te: 0.0142 0.5098 0.7187 [4 per cell]  1 Al 2.63
Te: 0.4265 0.7500 0.1340 [2 per cell]  1 Al 2.60
Te: 0.4542 0.7500 0.6007 [2 per cell]  1 Al 2.57

Below is CuRe3 after structural relaxation, with properties calculated at the PBE level.

**Calculated volume**: 57 Å³ per cell
**Magnetization**: 0.0 μB/f.u.
**Density of states at the Fermi level**: 0.5824 states/eV/atom
**VASP energy**: -40.82 eV for the cell shown
**Energy relative to the elements**: 0.155 eV per atom

Lattice parameters (Å, degrees): 2.7736 4.3780 4.7276 90.00 90.00 90.00
Last column: nearest neighbours and their distance in Å.
Space group Pmm2 (No. 25)
Unique sites:
Cu: 0.0000 0.0000 0.0000 [1 per cell]  10 Re 2.68-2.77, 2 Cu 2.77
Re: 0.0000 0.5000 0.3288 [1 per cell]  2 Cu 2.68, 10 Re 2.70-2.79
Re: 0.5000 0.0000 0.5081 [1 per cell]  8 Re 2.69-2.77, 4 Cu 2.71-2.77
Re: 0.5000 0.5000 0.8400 [1 per cell]  8 Re 2.69-2.79, 4 Cu 2.70

Below is Ca2Be7Au12 after structural relaxation, with properties calculated at the PBE level.

**Calculated volume**: 341 Å³ per cell
**Magnetization**: 0.0 μB/f.u.
**Density of states at the Fermi level**: 0.2960 states/eV/atom
**VASP energy**: -75.13 eV for the cell shown
**Energy relative to the elements**: -0.272 eV per atom

Lattice parameters (Å, degrees): 9.8685 9.8685 4.0460 90.00 90.00 120.00
Last column: nearest neighbours and their distance in Å.
Space group P-3 (No. 147)
Unique sites:
Ca: 0.3333 0.6667 0.2516 [2 per cell]  6 Au 3.09-3.10, 6 Be 3.20
Be: 0.0000 0.0000 0.0000 [1 per cell]  6 Au 2.44
Be: 0.1087 0.7133 0.7531 [6 per cell]  6 Au 2.39-2.67
Au: 0.0766 0.4568 0.7498 [6 per cell]  3 Be 2.39-2.67
Au: 0.1190 0.2583 0.2533 [6 per cell]  4 Be 2.40-2.54

Below is RbCrAuSe2 after structural relaxation, with properties calculated at the PBE level.

**Calculated volume**: 555 Å³ per cell
**Magnetization**: 4.0 μB/f.u.
**Density of states at the Fermi level**: 0.3450 states/eV/atom
**Uncorrected formation energy**: -535 meV/atom
**VASP energy**: -94.04 eV for the cell shown

Lattice parameters (Å, degrees): 6.5242 14.5594 5.8443 90.00 90.00 90.00
Last column: nearest neighbours and their distance in Å.
Space group Cmme (No. 67)
Unique sites:
Rb: 0.0000 0.2500 0.2110 [4 per cell]  4 Se 3.41-3.66
Cr: 0.2500 0.0000 0.5000 [4 per cell]  4 Se 2.56
Au: 0.0000 0.0000 0.0000 [4 per cell]  2 Se 2.47
Se: 0.0000 0.1131 0.6847 [8 per cell]  1 Au 2.47, 2 Cr 2.56

Below is Ta2Be2Ir after structural relaxation, with properties calculated at the PBE level.

**Calculated volume**: 131 Å³ per cell
**Magnetization**: 0.0 μB/f.u.
**Density of states at the Fermi level**: 0.5676 states/eV/atom
**VASP energy**: -85.23 eV for the cell shown
**Energy relative to the elements**: -0.520 eV per atom

Lattice parameters (Å, degrees): 6.1122 6.1122 3.5161 90.00 90.00 90.00
Last column: nearest neighbours and their distance in Å.
Space group P4/mbm (No. 127)
Unique sites:
Ta: 0.1727 0.3273 0.0000 [4 per cell]  6 Be 2.49-2.54
Be: 0.1239 0.6239 0.5000 [4 per cell]  1 Be 2.14
Ir: 0.0000 0.0000 0.5000 [2 per cell]  4 Be 2.42

Below is TmAl6Si after structural relaxation, with properties calculated at the PBE level.

**Calculated volume**: 506 Å³ per cell
**Magnetization**: 0.0 μB/f.u.
**Density of states at the Fermi level**: 0.5581 states/eV/atom
**Uncorrected formation energy**: 140 meV/atom
**VASP energy**: -93.68 eV for the cell shown

Lattice parameters (Å, degrees): 7.8555 7.8555 9.4602 90.00 90.00 120.00
Last column: nearest neighbours and their distance in Å.
Space group R-3m (No. 166, hexagonal axes)
Unique sites:
Tm: 0.0000 0.0000 0.0000 [3 per cell]  12 Al 2.93-3.22
Al: 0.0942 0.5471 0.3731 [18 per cell]  1 Si 2.54, 3 Al 2.72-2.82
Si: 0.0000 0.0000 0.5000 [3 per cell]  6 Al 2.54

Below is Sr3CaAl after structural relaxation, with properties calculated at the PBE level.

**Calculated volume**: 278 Å³ per cell
**Magnetization**: 2.3 μB/f.u.
**Density of states at the Fermi level**: 1.7009 states/eV/atom
**VASP energy**: -6.22 eV for the cell shown
**Energy relative to the elements**: 0.914 eV per atom
**Excess energy over the best structure of this formula in the dataset**: 783 meV per atom

Lattice parameters (Å, degrees): 6.5294 6.5294 6.5294 90.00 90.00 90.00
Last column: nearest neighbours and their distance in Å.
Space group Pm-3m (No. 221)
Unique sites:
Sr: 0.0000 0.0000 0.5000 [3 per cell]  2 Ca 3.26
Ca: 0.0000 0.0000 0.0000 [1 per cell]  6 Sr 3.26
Al: 0.5000 0.5000 0.5000 [1 per cell]  12 Sr 4.62

Below is GaNiS2 after structural relaxation, with properties calculated at the PBE level.

**Calculated volume**: 230 Å³ per cell
**Magnetization**: 1.0 μB/f.u.
**Density of states at the Fermi level**: 0.7378 states/eV/atom
**Uncorrected formation energy**: -192 meV/atom
**VASP energy**: -53.49 eV for the cell shown

Lattice parameters (Å, degrees): 3.5712 3.5712 20.7844 90.00 90.00 120.00
Last column: nearest neighbours and their distance in Å.
Space group R-3m (No. 166, hexagonal axes)
Unique sites:
Ga: 0.0000 0.0000 0.0000 [3 per cell]  6 S 2.46
Ni: 0.0000 0.0000 0.5000 [3 per cell]  2 S 2.12
S: 0.0000 0.0000 0.3982 [6 per cell]  1 Ni 2.12

Below is CaBi2B after structural relaxation, with properties calculated at the PBE level.

**Calculated volume**: 427 Å³ per cell
**Magnetization**: 0.0 μB/f.u.
**Density of states at the Fermi level**: 0.2650 states/eV/atom
**VASP energy**: -62.91 eV for the cell shown
**Energy relative to the elements**: 0.178 eV per atom

Lattice parameters (Å, degrees): 7.5046 7.5046 7.5774 90.00 90.00 90.00
Last column: nearest neighbours and their distance in Å.
Space group I-42d (No. 122)
Unique sites:
Ca: 0.0000 0.0000 0.0000 [4 per cell]  8 Bi 3.30-3.61
Bi: 0.1613 0.2500 0.6250 [8 per cell]  2 B 2.43
B: 0.0000 0.0000 0.5000 [4 per cell]  4 Bi 2.43

Below is GaAu3S after structural relaxation, with properties calculated at the PBE level.

**Calculated volume**: 116 Å³ per cell
**Magnetization**: 0.0 μB/f.u.
**Density of states at the Fermi level**: 0.8746 states/eV/atom
**Uncorrected formation energy**: 721 meV/atom
**VASP energy**: -13.38 eV for the cell shown
**Excess energy over the best structure of this formula in the dataset**: 330 meV per atom

Lattice parameters (Å, degrees): 4.8727 4.8727 4.8727 90.00 90.00 90.00
Last column: nearest neighbours and their distance in Å.
Space group Pm-3m (No. 221)
Unique sites:
Ga: 0.0000 0.0000 0.0000 [1 per cell]  6 Au 2.44
Au: 0.0000 0.0000 0.5000 [3 per cell]  2 Ga 2.44
S: 0.5000 0.5000 0.5000 [1 per cell]  12 Au 3.45

- What is the formula in the first record?
  BaCu4O4

- Number 7 is which compound?
  Ta2Be2Ir

- Number 1 is which compound?
  BaCu4O4